Material: Tb6Pm2Dy3Mg
Method: DFT, PBE-GGA
State: optimized geometry

Calculated values
- total energy (eV per atom) = -4.37
- calculated volume (Å³/cell) = 755.9
- formation energy from the elements (meV per atom) = 19

The structure in CIF format:
```
data_Tb6Pm2Dy3Mg
_chemical_formula_sum 'Tb12 Pm4 Dy6 Mg2'
_cell_length_a 6.137
_cell_length_b 10.640
_cell_length_c 11.757
_cell_angle_alpha 90.00
_cell_angle_beta 100.09
_cell_angle_gamma 90.00
_symmetry_space_group_name_H-M 'C 1 2/m 1'
_symmetry_Int_Tables_number 12
_symmetry_space_group_name_Hall '-C 2y'
loop_
_atom_site_label
_atom_site_type_symbol
_atom_site_fract_x
_atom_site_fract_y
_atom_site_fract_z
Tb1 Tb 0.248 0.000 0.248
Tb2 Tb 0.249 0.166 0.751
Pm1 Pm 0.000 0.334 0.500
Dy1 Dy 0.000 0.166 0.000
Dy2 Dy 0.000 0.500 0.000
Mg1 Mg 0.000 0.000 0.500
```


Material: SrFe2Hg
Method: DFT, PBE-GGA
State: optimized geometry

Calculated values
- total energy (eV per atom) = -4.05
- calculated volume (Å³/cell) = 164.4
- formation energy from the elements (meV per atom) = 680

The structure in CIF format:
```
data_SrFe2Hg
_chemical_formula_sum 'Sr2 Fe4 Hg2'
_cell_length_a 4.315
_cell_length_b 4.470
_cell_length_c 8.522
_cell_angle_alpha 90.00
_cell_angle_beta 90.00
_cell_angle_gamma 90.00
_symmetry_space_group_name_H-M 'I m m m'
_symmetry_Int_Tables_number 71
_symmetry_space_group_name_Hall '-I 2 2'
loop_
_atom_site_label
_atom_site_type_symbol
_atom_site_fract_x
_atom_site_fract_y
_atom_site_fract_z
Sr1 Sr 0.000 0.000 0.000
Fe1 Fe 0.000 0.500 0.245
Hg1 Hg 0.000 0.000 0.500
```